Record 1
Here is a geometry-optimized Er3HgAu4 structure from the Alexandria database. Energies are from PBE.

Cell and atoms, written as extended XYZ:
```
8
Lattice="4.893 0.000 0.000 0.000 4.893 0.000 0.000 0.000 7.381" Properties=species:S:1:pos:R:3 pbc="T T T"
Er 0.000 0.000 0.000
Er 0.000 0.000 3.690
Er 2.446 2.446 0.000
Hg 2.446 2.446 3.690
Au 0.000 2.446 1.776
Au 0.000 2.446 5.604
Au 2.446 0.000 1.776
Au 2.446 0.000 5.604
```

Symmetry = P4/mmm, No. 123
V = 22.084 Å³ per atom
Magnetic moment = 0.00 μB/f.u.
Electronic total energy = -4.109 eV per atom
Calculated formation energy = -721 meV per atom

Record 2
Here is a geometry-optimized Er7Hg2Au2 structure from the Alexandria database. Energies are from PBE.

Cell and atoms, written as extended XYZ:
```
11
Lattice="3.961 -5.488 0.000 3.961 5.488 0.000 0.000 0.000 7.270" Properties=species:S:1:pos:R:3 pbc="T T T"
Er 0.000 0.000 0.000
Er 1.981 2.744 1.951
Er 1.981 2.744 5.319
Er 1.981 -2.744 1.951
Er 1.981 -2.744 5.319
Er 3.961 0.000 1.856
Er 3.961 0.000 5.414
Hg 1.444 0.000 3.635
Hg 6.478 0.000 3.635
Au 3.961 2.269 0.000
Au 3.961 -2.269 0.000
```

Symmetry = Cmmm, No. 65
V = 28.733 Å³ per atom
Magnetic moment = 0.00 μB/f.u.
Electronic total energy = -3.849 eV per atom
Calculated formation energy = -295 meV per atom

Record 3
Here is a geometry-optimized Er4HgAu2 structure from the Alexandria database. Energies are from PBE.

Cell and atoms, written as extended XYZ:
```
7
Lattice="2.519 1.454 8.218 -2.519 1.454 8.218 0.000 -2.909 8.218" Properties=species:S:1:pos:R:3 pbc="T T T"
Er 0.000 0.000 2.969
Er 0.000 0.000 9.179
Er 0.000 0.000 15.474
Er 0.000 0.000 21.685
Hg 0.000 0.000 12.327
Au 0.000 0.000 6.234
Au 0.000 0.000 18.419
```

Symmetry = R-3m, No. 166
V = 25.809 Å³ per atom
Energy above the lowest structure with this stoichiometry = 0 meV per atom
Magnetic moment = 0.00 μB/f.u.
Electronic total energy = -4.167 eV per atom
Calculated formation energy = -580 meV per atom

Record 4
Here is a geometry-optimized Er3Hg2Au3 structure from the Alexandria database. Energies are from PBE.

Cell and atoms, written as extended XYZ:
```
16
Lattice="8.672 0.000 0.000 -4.336 7.510 0.000 0.000 0.000 5.882" Properties=species:S:1:pos:R:3 pbc="T T T"
Er -1.260 2.182 1.471
Er -3.076 5.329 4.412
Er 2.519 0.000 1.471
Er 1.260 2.182 4.412
Er 6.153 0.000 4.412
Er 3.076 5.329 1.471
Hg 0.000 5.007 0.000
Hg 0.000 5.007 2.941
Hg 4.336 2.503 0.000
Hg 4.336 2.503 2.941
Au -1.568 2.716 4.412
Au -2.768 4.794 1.471
Au 3.136 0.000 4.412
Au 1.568 2.716 1.471
Au 5.536 0.000 1.471
Au 2.768 4.794 4.412
```

Symmetry = P6_3/mcm, No. 193
V = 23.946 Å³ per atom
Magnetic moment = 0.00 μB/f.u.
Electronic total energy = -3.636 eV per atom
Calculated formation energy = -621 meV per atom

Record 5
Here is a geometry-optimized ErHgAu2 structure from the Alexandria database. Energies are from PBE.

Cell and atoms, written as extended XYZ:
```
4
Lattice="3.631 0.000 0.000 0.000 3.631 0.000 0.000 0.000 6.588" Properties=species:S:1:pos:R:3 pbc="T T T"
Er 0.000 0.000 0.000
Hg 0.000 0.000 3.294
Au 1.815 1.815 1.587
Au 1.815 1.815 5.001
```

Symmetry = P4/mmm, No. 123
V = 21.710 Å³ per atom
Magnetic moment = 0.00 μB/f.u.
Electronic total energy = -3.404 eV per atom
Calculated formation energy = -550 meV per atom

Record 6
Here is a geometry-optimized ErHg2Au structure from the Alexandria database. Energies are from PBE.

Cell and atoms, written as extended XYZ:
```
16
Lattice="4.581 0.000 0.000 0.000 4.581 0.000 0.000 0.000 17.366" Properties=species:S:1:pos:R:3 pbc="T T T"
Er 0.000 0.000 2.400
Er 0.000 0.000 14.966
Er 2.291 2.291 6.283
Er 2.291 2.291 11.083
Hg 0.000 0.000 6.390
Hg 0.000 0.000 10.976
Hg 0.000 2.291 0.000
Hg 0.000 2.291 8.683
Hg 2.291 0.000 0.000
Hg 2.291 0.000 8.683
Hg 2.291 2.291 2.293
Hg 2.291 2.291 15.073
Au 0.000 2.291 4.342
Au 0.000 2.291 13.025
Au 2.291 0.000 4.342
Au 2.291 0.000 13.025
```

Symmetry = I4/mmm, No. 139
V = 22.782 Å³ per atom
Energy above the lowest structure with this stoichiometry = 0 meV per atom
Magnetic moment = 0.00 μB/f.u.
Electronic total energy = -2.551 eV per atom
Calculated formation energy = -440 meV per atom

> What is the formula in the sixth record?

ErHg2Au

> What is the calculated formation energy in the sixth record?

-440 meV per atom